[1]
# HoGaTc2C | the Alexandria database | PBE | relaxed
# * DOS at the Fermi energy: 2.01 states/eV/f.u.
# * mass density: 9.30 g/cm3
# * ΔH_f (0 K): -1.6 eV per formula unit
data_HoGaTc2C
_chemical_formula_sum 'Ho4 Ga4 Tc8 C4'
_symmetry_space_group_name_H-M 'C m c m'
_symmetry_Int_Tables_number 63
_symmetry_space_group_name_Hall '-C 2c 2'
_cell_length_a 3.517
_cell_length_b 11.479
_cell_length_c 7.827
_cell_angle_alpha 90.00
_cell_angle_beta 90.00
_cell_angle_gamma 90.00
loop_
_atom_site_label
_atom_site_type_symbol
_atom_site_fract_x
_atom_site_fract_y
_atom_site_fract_z
Ho1 Ho 0.000 0.032 0.250
Ga1 Ga 0.000 0.249 0.750
Tc1 Tc 0.000 0.337 0.053
C1 C 0.000 0.500 0.000

[2]
# Ho2Ga2Tc2C | the Alexandria database | PBE | relaxed
# * DOS at the Fermi energy: 2.25 states/eV/f.u.
# * mass density: 9.10 g/cm3
# * ΔH_f (0 K): -3.6 eV per formula unit
data_Ho2Ga2Tc2C
_chemical_formula_sum 'Ho4 Ga4 Tc4 C2'
_symmetry_space_group_name_H-M 'C 1 2/m 1'
_symmetry_Int_Tables_number 12
_symmetry_space_group_name_Hall '-C 2y'
_cell_length_a 11.133
_cell_length_b 3.663
_cell_length_c 7.332
_cell_angle_alpha 90.00
_cell_angle_beta 124.24
_cell_angle_gamma 90.00
loop_
_atom_site_label
_atom_site_type_symbol
_atom_site_fract_x
_atom_site_fract_y
_atom_site_fract_z
Ho1 Ho 0.070 0.000 0.284
Ga1 Ga 0.135 0.500 0.660
Tc1 Tc 0.197 0.500 0.069
C1 C 0.000 0.500 0.000

[3]
# HoTm2GaC | the Alexandria database | PBE | relaxed
# * DOS at the Fermi energy: 1.08 states/eV/f.u.
# * mass density: 8.81 g/cm3
# * ΔH_f (0 K): -2.5 eV per formula unit
data_HoTm2GaC
_chemical_formula_sum 'Ho1 Tm2 Ga1 C1'
_symmetry_space_group_name_H-M 'P 4/m m m'
_symmetry_Int_Tables_number 123
_symmetry_space_group_name_Hall '-P 4 2'
_cell_length_a 4.775
_cell_length_b 4.775
_cell_length_c 4.830
_cell_angle_alpha 90.00
_cell_angle_beta 90.00
_cell_angle_gamma 90.00
loop_
_atom_site_label
_atom_site_type_symbol
_atom_site_fract_x
_atom_site_fract_y
_atom_site_fract_z
Ho1 Ho 0.000 0.000 0.000
Tm1 Tm 0.000 0.500 0.500
Ga1 Ga 0.500 0.500 0.000
C1 C 0.000 0.000 0.500

[4]
# Ho2TmGaC | the Alexandria database | PBE | relaxed
# * DOS at the Fermi energy: 1.39 states/eV/f.u.
# * mass density: 8.65 g/cm3
# * ΔH_f (0 K): -2.4 eV per formula unit
data_Ho2TmGaC
_chemical_formula_sum 'Ho2 Tm1 Ga1 C1'
_symmetry_space_group_name_H-M 'P 4/m m m'
_symmetry_Int_Tables_number 123
_symmetry_space_group_name_Hall '-P 4 2'
_cell_length_a 4.832
_cell_length_b 4.832
_cell_length_c 4.774
_cell_angle_alpha 90.00
_cell_angle_beta 90.00
_cell_angle_gamma 90.00
loop_
_atom_site_label
_atom_site_type_symbol
_atom_site_fract_x
_atom_site_fract_y
_atom_site_fract_z
Ho1 Ho 0.000 0.500 0.000
Tm1 Tm 0.000 0.000 0.500
Ga1 Ga 0.500 0.500 0.500
C1 C 0.000 0.000 0.000

[5]
# Ga2C2I | the Alexandria database | PBE | relaxed
# * DOS at the Fermi energy: 1.95 states/eV/f.u.
# * mass density: 5.07 g/cm3
# * distance to the lowest polymorph of the same formula: 435 meV/atom
data_Ga2C2I
_chemical_formula_sum 'Ga4 C4 I2'
_symmetry_space_group_name_H-M 'P 4/m b m'
_symmetry_Int_Tables_number 127
_symmetry_space_group_name_Hall '-P 4 2ab'
_cell_length_a 7.336
_cell_length_b 7.336
_cell_length_c 3.537
_cell_angle_alpha 90.00
_cell_angle_beta 90.00
_cell_angle_gamma 90.00
loop_
_atom_site_label
_atom_site_type_symbol
_atom_site_fract_x
_atom_site_fract_y
_atom_site_fract_z
Ga1 Ga 0.126 0.374 0.000
C1 C 0.204 0.296 0.500
I1 I 0.000 0.000 0.500

[6]
# GaC2I2 | the Alexandria database | PBE | relaxed
# * DOS at the Fermi energy: 3.05 states/eV/f.u.
# * mass density: 5.16 g/cm3
# * distance to the lowest polymorph of the same formula: 15 meV/atom
data_GaC2I2
_chemical_formula_sum 'Ga2 C4 I4'
_symmetry_space_group_name_H-M 'I 4/m m m'
_symmetry_Int_Tables_number 139
_symmetry_space_group_name_Hall '-I 4 2'
_cell_length_a 4.639
_cell_length_b 4.639
_cell_length_c 10.390
_cell_angle_alpha 90.00
_cell_angle_beta 90.00
_cell_angle_gamma 90.00
loop_
_atom_site_label
_atom_site_type_symbol
_atom_site_fract_x
_atom_site_fract_y
_atom_site_fract_z
Ga1 Ga 0.000 0.000 0.000
C1 C 0.000 0.500 0.250
I1 I 0.000 0.000 0.319

[7]
# GaCI3 | the Alexandria database | PBE | relaxed
# * DOS at the Fermi energy: 0.75 states/eV/f.u.
# * mass density: 5.40 g/cm3
# * distance to the lowest polymorph of the same formula: 0 meV/atom
data_GaCI3
_chemical_formula_sum 'Ga1 C1 I3'
_symmetry_space_group_name_H-M 'P m -3 m'
_symmetry_Int_Tables_number 221
_symmetry_space_group_name_Hall '-P 4 2 3'
_cell_length_a 5.220
_cell_length_b 5.220
_cell_length_c 5.220
_cell_angle_alpha 90.00
_cell_angle_beta 90.00
_cell_angle_gamma 90.00
loop_
_atom_site_label
_atom_site_type_symbol
_atom_site_fract_x
_atom_site_fract_y
_atom_site_fract_z
Ga1 Ga 0.000 0.000 0.000
C1 C 0.500 0.500 0.500
I1 I 0.000 0.500 0.500

[8]
# GaC2I2 | the Alexandria database | PBE | relaxed
# * DOS at the Fermi energy: 2.42 states/eV/f.u.
# * mass density: 4.95 g/cm3
# * distance to the lowest polymorph of the same formula: 0 meV/atom
data_GaC2I2
_chemical_formula_sum 'Ga2 C4 I4'
_symmetry_space_group_name_H-M 'P 4/m b m'
_symmetry_Int_Tables_number 127
_symmetry_space_group_name_Hall '-P 4 2ab'
_cell_length_a 8.424
_cell_length_b 8.424
_cell_length_c 3.283
_cell_angle_alpha 90.00
_cell_angle_beta 90.00
_cell_angle_gamma 90.00
loop_
_atom_site_label
_atom_site_type_symbol
_atom_site_fract_x
_atom_site_fract_y
_atom_site_fract_z
Ga1 Ga 0.000 0.000 0.000
C1 C 0.212 0.288 0.500
I1 I 0.164 0.664 0.000

[9]
# GaC3I | the Alexandria database | PBE | relaxed
# * DOS at the Fermi energy: 4.00 states/eV/f.u.
# * mass density: 5.13 g/cm3
# * distance to the lowest polymorph of the same formula: 460 meV/atom
data_GaC3I
_chemical_formula_sum 'Ga1 C3 I1'
_symmetry_space_group_name_H-M 'P m -3 m'
_symmetry_Int_Tables_number 221
_symmetry_space_group_name_Hall '-P 4 2 3'
_cell_length_a 4.223
_cell_length_b 4.223
_cell_length_c 4.223
_cell_angle_alpha 90.00
_cell_angle_beta 90.00
_cell_angle_gamma 90.00
loop_
_atom_site_label
_atom_site_type_symbol
_atom_site_fract_x
_atom_site_fract_y
_atom_site_fract_z
Ga1 Ga 0.000 0.000 0.000
C1 C 0.000 0.500 0.500
I1 I 0.500 0.500 0.500

[10]
# GaC3I | the Alexandria database | PBE | relaxed
# * DOS at the Fermi energy: 4.57 states/eV/f.u.
# * mass density: 5.43 g/cm3
# * distance to the lowest polymorph of the same formula: 0 meV/atom
data_GaC3I
_chemical_formula_sum 'Ga1 C3 I1'
_symmetry_space_group_name_H-M 'P m -3 m'
_symmetry_Int_Tables_number 221
_symmetry_space_group_name_Hall '-P 4 2 3'
_cell_length_a 4.144
_cell_length_b 4.144
_cell_length_c 4.144
_cell_angle_alpha 90.00
_cell_angle_beta 90.00
_cell_angle_gamma 90.00
loop_
_atom_site_label
_atom_site_type_symbol
_atom_site_fract_x
_atom_site_fract_y
_atom_site_fract_z
Ga1 Ga 0.000 0.000 0.000
C1 C 0.000 0.000 0.500
I1 I 0.500 0.500 0.500

[11]
# Ga2C2I | the Alexandria database | PBE | relaxed
# * DOS at the Fermi energy: 1.42 states/eV/f.u.
# * mass density: 5.23 g/cm3
# * distance to the lowest polymorph of the same formula: 0 meV/atom
data_Ga2C2I
_chemical_formula_sum 'Ga4 C4 I2'
_symmetry_space_group_name_H-M 'I 4/m m m'
_symmetry_Int_Tables_number 139
_symmetry_space_group_name_Hall '-I 4 2'
_cell_length_a 4.788
_cell_length_b 4.788
_cell_length_c 8.048
_cell_angle_alpha 90.00
_cell_angle_beta 90.00
_cell_angle_gamma 90.00
loop_
_atom_site_label
_atom_site_type_symbol
_atom_site_fract_x
_atom_site_fract_y
_atom_site_fract_z
Ga1 Ga 0.000 0.500 0.250
C1 C 0.000 0.000 0.080
I1 I 0.000 0.000 0.500

[12]
# GaCI3 | the Alexandria database | PBE | relaxed
# * DOS at the Fermi energy: 7.32 states/eV/f.u.
# * mass density: 4.24 g/cm3
# * distance to the lowest polymorph of the same formula: 511 meV/atom
data_GaCI3
_chemical_formula_sum 'Ga1 C1 I3'
_symmetry_space_group_name_H-M 'P m -3 m'
_symmetry_Int_Tables_number 221
_symmetry_space_group_name_Hall '-P 4 2 3'
_cell_length_a 5.657
_cell_length_b 5.657
_cell_length_c 5.657
_cell_angle_alpha 90.00
_cell_angle_beta 90.00
_cell_angle_gamma 90.00
loop_
_atom_site_label
_atom_site_type_symbol
_atom_site_fract_x
_atom_site_fract_y
_atom_site_fract_z
Ga1 Ga 0.000 0.000 0.000
C1 C 0.500 0.500 0.500
I1 I 0.000 0.000 0.500